## InCuSn2 (PBE)

Data for a relaxed structure of InCuSn2.

a = 4.999 Å, b = 4.999 Å, c = 9.186 Å
α = 74.21°, β = 74.21°, γ = 90.00°
Fractional positions:
Sn 0.558 0.125 0.250
Sn 0.192 0.625 0.250
Sn 0.375 0.442 0.750
Sn 0.875 0.808 0.750
Cu 0.500 0.500 0.000
Cu 0.250 0.750 0.500
In 0.000 0.000 0.000
In 0.750 0.250 0.500

M_tot: 0.0 μB/f.u.
D(E_F): 0.3 states/eV/cell
Density: 6.52 g/cm3
E_form: 0.6 eV per formula unit
Symmetry: I-42d, No. 122